An optimized crystal structure of Ag2TeBr, computed with PBE-GGA.

The energy above the lowest structure with this stoichiometry comes out at 336 meV/atom. As for the total magnetization: 0.155 μB/atom.

It has space group Fm-3m (No. 225), with a = 7.269 Å, b = 7.269 Å, c = 7.269 Å, α = 90.00°, β = 90.00° and γ = 90.00°. The asymmetric unit holds Ag at (0.250, 0.250, 0.250), Te at (0.000, 0.000, 0.000) and Br at (0.000, 0.000, 0.500).

An optimized crystal structure of AgTeBr5, computed with PBE-GGA.

The energy above the lowest structure with this stoichiometry comes out at 5 meV/atom. As for the total magnetization: 0.000 μB/atom.

It has space group C2/c (No. 15), with a = 10.827 Å, b = 9.912 Å, c = 10.744 Å, α = 90.00°, β = 115.51° and γ = 90.00°. The asymmetric unit holds Ag at (0.000, 0.059, 0.250), Te at (0.250, 0.250, 0.000), Br at (0.000, 0.237, 0.750), Br at (0.104, 0.272, 0.151) and Br at (0.224, 0.023, 0.493).

An optimized crystal structure of Ag6Te2Br, computed with PBE-GGA.

As for the final energy: -100.32 eV for the cell shown. As for the total magnetization: 0.000 μB/atom.

It has space group C2/c (No. 15), with a = 14.376 Å, b = 7.916 Å, c = 9.957 Å, α = 90.00°, β = 125.70° and γ = 90.00°. The asymmetric unit holds Ag at (0.069, 0.047, 0.439), Ag at (0.107, 0.380, 0.608), Ag at (0.126, 0.257, 0.140), Te at (0.180, 0.067, 0.793) and Br at (0.000, 0.439, 0.250).

An optimized crystal structure of Ag2TeBr, computed with PBE-GGA.

The energy above the lowest structure with this stoichiometry comes out at 143 meV/atom. As for the total magnetization: 0.000 μB/atom.

It has space group Pmmm (No. 47), with a = 3.527 Å, b = 4.397 Å, c = 7.218 Å, α = 90.00°, β = 90.00° and γ = 90.00°. The asymmetric unit holds Ag at (0.000, 0.000, 0.000), Ag at (0.000, 0.500, 0.500), Te at (0.500, 0.000, 0.500) and Br at (0.500, 0.500, 0.000).